! Na3PaCr2Se6 | Alexandria via LeMat-Bulk | PBE | optimized geometry; values from VASP
! space-group type = No. 12
! E_form (uncorrected) = -996 meV per atom
! crystal system = monoclinic
! magnetization = 8.00 Bohr magnetons per cell
! energy = -5.463 eV per atom
&SYSTEM
  ibrav = 0, nat = 12, ntyp = 4
/
ATOMIC_SPECIES
Se 78.96 Se.upf
Na 22.99 Na.upf
Cr 52.00 Cr.upf
Pa 231.04 Pa.upf
ATOMIC_POSITIONS crystal
Se 0.0720 0.4223 0.2158
Na 0.8372 0.1628 0.5000
Na 0.1628 0.8372 0.5000
Se 0.5777 0.9280 0.7842
Cr 0.3329 0.6671 0.0000
Se 0.2787 0.2787 0.7849
Na 0.5000 0.5000 0.5000
Se 0.4223 0.0720 0.2158
Pa 0.0000 0.0000 0.0000
Cr 0.6671 0.3329 0.0000
Se 0.7213 0.7213 0.2151
Se 0.9280 0.5777 0.7842
CELL_PARAMETERS angstrom
6.7693 0.0002 -0.0016
-3.3828 5.8635 -0.0016
-1.1296 -1.9559 7.0311